(1)
A geometry-optimized HgMoIr2 structure. Source: the Alexandria database, functional PBE.

abc: 2.8038 2.8038 9.6938
angles: 90.00 90.00 119.46
Last column: nearest neighbours and their distance in Å.
Atoms (fractional coordinates):
Hg: 0.0000 0.0000 0.0000  6 Hg 2.80-2.83, 2 Ir 2.87, 2 Mo 2.99
Mo: 0.5000 0.5000 0.2716  2 Ir 2.64, 6 Mo 2.80-2.83
Ir: 0.0000 0.0000 0.5013  2 Mo 2.64, 8 Ir 2.73-2.83
Ir: 0.5000 0.5000 0.7421  8 Ir 2.73-2.83, 2 Hg 2.87

Properties
Space-group type: Cmm2

---

(2)
A geometry-optimized DyAg2Au8 structure. Source: the Alexandria database, functional PBE.

abc: 7.9267 7.9267 6.6746
angles: 104.80 104.80 30.64
Last column: nearest neighbours and their distance in Å.
Atoms (fractional coordinates):
Dy: 0.0000 0.0000 0.0000  12 Au 3.00-3.01
Ag: 0.2750 0.2750 0.3657  10 Au 2.92-2.99, 2 Ag 2.99
Ag: 0.7250 0.7250 0.6343  10 Au 2.92-2.99, 2 Ag 2.99
Au: 0.0940 0.0940 0.4568  3 Ag 2.92-2.99, 8 Au 2.96-3.08, 1 Dy 3.01
Au: 0.1836 0.1836 0.9151  8 Au 2.93-3.01, 3 Ag 2.96-2.99, 1 Dy 3.01
Au: 0.3610 0.3610 0.8130  3 Ag 2.93-2.97, 7 Au 2.96-3.05, 2 Dy 3.01
Au: 0.4541 0.4541 0.2774  9 Au 2.93-3.05, 1 Ag 2.95, 2 Dy 3.00
Au: 0.5459 0.5459 0.7226  9 Au 2.93-3.05, 1 Ag 2.95, 2 Dy 3.00
Au: 0.6390 0.6390 0.1870  3 Ag 2.93-2.97, 7 Au 2.96-3.05, 2 Dy 3.01
Au: 0.8164 0.8164 0.0849  8 Au 2.93-3.01, 3 Ag 2.96-2.99, 1 Dy 3.01
Au: 0.9060 0.9060 0.5432  3 Ag 2.92-2.99, 8 Au 2.96-3.08, 1 Dy 3.01

Properties
Space-group type: C2/m

---

(3)
A geometry-optimized PmNdC2 structure. Source: the Alexandria database, functional PBE.

abc: 6.4998 6.4998 6.4998
angles: 33.60 33.60 33.60
Last column: nearest neighbours and their distance in Å.
Atoms (fractional coordinates):
Pm: 0.0000 0.0000 0.0000  6 C 2.65
Nd: 0.5000 0.5000 0.5000  6 C 2.67
C: 0.2509 0.2509 0.2509  3 Pm 2.65, 3 Nd 2.67
C: 0.7491 0.7491 0.7491  3 Pm 2.65, 3 Nd 2.67

Properties
Space-group type: R-3m
Energy relative to the lowest polymorph listed for this composition, meV/atom: 420

---

(4)
A geometry-optimized La2SmCu3 structure. Source: the Alexandria database, functional PBE.

abc: 8.1162 8.1162 7.1999
angles: 90.00 90.00 143.12
Last column: nearest neighbours and their distance in Å.
Atoms (fractional coordinates):
La: 0.0000 0.0000 0.0000  8 Cu 3.16-3.25
La: 0.0000 0.0000 0.5000  8 Cu 3.11-3.12
La: 0.3344 0.6656 0.0000  8 Cu 3.15-3.20
La: 0.6656 0.3344 0.0000  8 Cu 3.15-3.20
Sm: 0.3328 0.6672 0.5000  8 Cu 3.01-3.11
Sm: 0.6672 0.3328 0.5000  8 Cu 3.01-3.11
Cu: 0.1708 0.8292 0.2659  3 Sm 3.01-3.07, 5 La 3.12-3.25, 1 Cu 3.37
Cu: 0.1708 0.8292 0.7341  3 Sm 3.01-3.07, 5 La 3.12-3.25, 1 Cu 3.37
Cu: 0.5000 0.5000 0.2571  6 La 3.11-3.16, 2 Sm 3.11
Cu: 0.5000 0.5000 0.7429  6 La 3.11-3.16, 2 Sm 3.11
Cu: 0.8292 0.1708 0.2659  3 Sm 3.01-3.07, 5 La 3.12-3.25, 1 Cu 3.37
Cu: 0.8292 0.1708 0.7341  3 Sm 3.01-3.07, 5 La 3.12-3.25, 1 Cu 3.37

Properties
Space-group type: Cmmm

---

Number 1: Fermi-level density of states 4.0 states/eV/cell, ΔE_f 0.47 eV/atom. Number 2: Fermi-level density of states 4.3 states/eV/cell, ΔE_f -0.27 eV/atom. Number 3: Fermi-level density of states 6.7 states/eV/cell, ΔE_f 0.29 eV/atom. Number 4: Fermi-level density of states 9.7 states/eV/cell, ΔE_f -0.15 eV/atom.